Record 1
The following is a DFT calculation (PBEsol) of a relaxed structure of TeIrPb3.

```
TeIrPb3
1.0
5.264 0.000 0.000
0.000 5.264 0.000
0.000 0.000 5.264
Pb Ir Te
3 1 1
direct
0.000 0.500 0.000
0.000 0.000 0.500
0.500 0.000 0.000
0.000 0.000 0.000
0.500 0.500 0.500
```

ΔE_f (raw): 0.0983 eV per atom
space-group type: Pm-3m (221)


Record 2
The following is a DFT calculation (PBEsol) of a relaxed structure of SbTe.

```
SbTe
1.0
-2.686 -0.671 -3.278
-1.275 -0.803 4.017
-7.838 22.022 1.913
Sb Te
6 6
direct
0.000 0.000 0.873
0.000 0.000 0.127
0.333 0.667 0.707
0.667 0.333 0.293
0.333 0.667 0.467
0.667 0.333 0.533
0.333 0.667 0.945
0.667 0.333 0.055
0.333 0.667 0.210
0.667 0.333 0.790
0.000 0.000 0.634
0.000 0.000 0.366
```

offset from the most stable computed form: 0 meV per atom
ΔE_f (raw): -0.1002 eV per atom
space-group type: P-3m1 (164)


Record 3
The following is a DFT calculation (PBEsol) of a relaxed structure of CuTcW2.

```
CuTcW2
1.0
3.203 0.000 0.000
0.000 3.203 0.000
0.000 0.000 5.552
Cu Tc W
1 1 2
direct
0.500 0.500 0.000
0.500 0.500 0.500
0.000 0.000 0.764
0.000 0.000 0.236
```

formation energy: 0.305 eV per atom
offset from the most stable computed form: 48 meV per atom
space-group type: P4/mmm (123)


Record 4
The following is a DFT calculation (PBEsol) of a relaxed structure of BeAu3.

```
BeAu3
1.0
2.900 0.000 0.000
-1.450 2.512 0.000
0.000 0.000 8.272
Be Au
1 3
direct
0.333 0.667 0.500
0.000 0.000 0.293
0.000 0.000 0.707
0.333 0.667 0.000
```

formation energy: -0.083 eV per atom
space-group type: P-6m2 (187)


Record 5
The following is a DFT calculation (PBEsol) of a relaxed structure of RbTa2Ir.

```
RbTa2Ir
1.0
-1.742 -0.652 4.269
-4.534 -0.905 0.551
-1.382 -4.244 1.327
Ir Rb Ta
1 1 2
direct
0.500 0.500 0.500
0.000 0.000 0.000
0.250 0.250 0.250
0.750 0.750 0.750
```

formation energy: 1.135 eV per atom
space-group type: Fm-3m (225)


Record 6
The following is a DFT calculation (PBEsol) of a relaxed structure of Tl2Hg.

```
Tl2Hg
1.0
-0.782 -3.163 0.210
0.789 0.173 5.536
-8.582 2.198 1.155
Hg Tl
2 4
direct
0.000 0.000 0.000
0.500 0.500 0.500
0.000 0.500 0.183
0.000 0.500 0.817
0.500 0.000 0.683
0.500 0.000 0.317
```

formation energy: 0.015 eV per atom
offset from the most stable computed form: 26 meV per atom
space-group type: Immm (71)


Record 7
The following is a DFT calculation (PBEsol) of a relaxed structure of LiSi2Hg.

```
LiSi2Hg
1.0
3.733 0.000 0.000
0.000 3.733 0.000
0.000 0.000 4.730
Si Hg Li
2 1 1
direct
0.000 0.500 0.000
0.500 0.000 0.000
0.500 0.500 0.500
0.000 0.000 0.500
```

ΔE_f (raw): 0.0898 eV per atom
space-group type: P4/mmm (123)


Record 8
The following is a DFT calculation (PBEsol) of a relaxed structure of Ba2NdGaSe5.

```
Ba2NdGaSe5
1.0
-3.425 -4.469 4.625
2.583 -4.771 -6.896
8.042 1.962 4.507
Ba Nd Ga Se
4 2 2 10
direct
0.636 0.979 0.295
0.364 0.021 0.705
0.341 0.509 0.706
0.659 0.491 0.294
0.998 0.733 0.997
0.002 0.267 0.003
0.804 0.871 0.685
0.196 0.129 0.315
0.986 0.682 0.675
0.014 0.318 0.325
0.981 0.149 0.679
0.019 0.851 0.321
0.702 0.905 0.923
0.298 0.095 0.077
0.695 0.407 0.942
0.305 0.593 0.058
0.484 0.738 0.490
0.516 0.262 0.510
```

ΔE_f (raw): -1.6354 eV per atom
space-group type: P-1 (2)


Record 9
The following is a DFT calculation (PBEsol) of a relaxed structure of Y2MnCl.

```
Y2MnCl
1.0
3.446 0.000 0.000
1.723 2.985 0.000
1.723 0.995 9.326
Y Mn Cl
2 1 1
direct
0.992 0.992 0.023
0.763 0.763 0.712
0.246 0.246 0.263
0.499 0.499 0.502
```

offset from the most stable computed form: 45 meV per atom
ΔE_f (raw): -0.2399 eV per atom
space-group type: R3m (160)


Record 10
The following is a DFT calculation (PBEsol) of a relaxed structure of FeRe3W.

```
FeRe3W
1.0
4.648 0.000 0.000
0.000 4.648 0.000
0.000 0.000 4.648
Re Fe W
3 1 1
direct
0.000 0.500 0.000
0.000 0.000 0.500
0.500 0.000 0.000
0.500 0.500 0.500
0.000 0.000 0.000
```

formation energy: 2.639 eV per atom
space-group type: Pm-3m (221)


Record 11
The following is a DFT calculation (PBEsol) of a relaxed structure of Ta3Tc.

```
Ta3Tc
1.0
-2.612 0.071 -1.333
0.535 -2.007 2.071
-3.099 5.758 6.379
Ta Tc
3 1
direct
0.333 0.667 0.270
0.333 0.667 0.730
0.000 0.000 0.000
0.000 0.000 0.500
```

formation energy: 0.241 eV per atom
offset from the most stable computed form: 499 meV per atom
space-group type: P-6m2 (187)


Record 12
The following is a DFT calculation (PBEsol) of a relaxed structure of NdB4.

```
NdB4
1.0
-1.435 1.308 2.907
-4.087 -2.022 0.995
0.787 -2.716 3.713
B Nd
4 1
direct
0.631 0.519 0.219
0.631 0.219 0.519
0.369 0.481 0.781
0.369 0.781 0.481
0.000 0.000 0.000
```

formation energy: 0.560 eV per atom
offset from the most stable computed form: 1170 meV per atom
space-group type: Immm (71)


Record 13
The following is a DFT calculation (PBEsol) of a relaxed structure of FeSiRh2.

```
FeSiRh2
1.0
-1.879 1.832 0.851
-3.144 -2.718 -1.089
0.684 -1.190 4.071
Fe Rh Si
1 2 1
direct
0.500 0.500 0.500
0.000 0.500 0.000
0.000 0.000 0.500
0.500 0.000 0.000
```

ΔE_f (raw): -0.4304 eV per atom
space-group type: Cmmm (65)


Record 14
The following is a DFT calculation (PBEsol) of a relaxed structure of YMnCo2Os.

```
YMnCo2Os
1.0
-1.907 -0.778 3.910
-3.252 -2.203 -2.025
2.507 -4.079 0.412
Y Co Mn Os
1 2 1 1
direct
0.000 0.000 0.000
0.000 0.500 0.000
0.500 0.000 0.000
0.500 0.500 0.500
0.000 0.000 0.500
```

formation energy: 2.186 eV per atom
space-group type: P4/mmm (123)


Record 15
The following is a DFT calculation (PBEsol) of a relaxed structure of TlOsBr.

```
TlOsBr
1.0
-0.693 1.366 2.551
-0.517 -1.738 2.526
7.031 1.085 3.063
Tl Os Br
1 1 1
direct
0.319 0.000 0.361
0.655 0.000 0.689
0.025 0.000 0.949
```

ΔE_f (raw): 0.9223 eV per atom
space-group type: Fmm2 (42)


Record 16
The following is a DFT calculation (PBEsol) of a relaxed structure of K6Ag7.

```
K6Ag7
1.0
5.690 0.000 0.000
2.845 4.927 0.000
2.845 1.642 14.192
Ag K
7 6
direct
0.391 0.391 0.329
0.889 0.391 0.329
0.391 0.889 0.329
0.609 0.609 0.671
0.609 0.111 0.671
0.111 0.609 0.671
0.500 0.500 0.500
0.933 0.933 0.200
0.067 0.067 0.800
0.847 0.847 0.458
0.153 0.153 0.542
0.700 0.700 0.901
0.300 0.300 0.099
```

formation energy: 0.103 eV per atom
space-group type: R-3m (166)


Record 17
The following is a DFT calculation (PBEsol) of a relaxed structure of RbLi2NiSn.

```
RbLi2NiSn
1.0
-0.893 -1.489 4.510
4.677 -2.425 0.125
2.225 4.388 1.889
Ni Sn Rb Li
1 1 1 2
direct
0.500 0.000 0.000
0.000 0.000 0.000
0.500 0.500 0.500
0.000 0.000 0.500
0.000 0.500 0.000
```

formation energy: 0.116 eV per atom
space-group type: P4/mmm (123)


Record 18
The following is a DFT calculation (PBEsol) of a relaxed structure of NaMgSO4F.

```
NaMgSO4F
1.0
5.434 -0.031 -0.012
-1.330 5.269 -0.012
-1.781 -2.273 6.462
Na Mg S O F
2 2 2 8 2
direct
0.669 0.331 0.250
0.331 0.669 0.750
0.000 0.000 0.000
0.000 0.000 0.500
0.322 0.678 0.250
0.678 0.322 0.750
0.322 0.876 0.138
0.124 0.678 0.362
0.678 0.124 0.862
0.876 0.322 0.638
0.255 0.405 0.099
0.595 0.745 0.401
0.745 0.595 0.901
0.405 0.255 0.599
0.921 0.079 0.250
0.079 0.921 0.750
```

ΔE_f (raw): -2.2370 eV per atom
space-group type: C2/c (15)


Record 19
The following is a DFT calculation (PBEsol) of a relaxed structure of Zn4AgHg.

```
Zn4AgHg
1.0
-0.735 4.888 1.211
-4.728 1.812 0.511
-1.765 1.242 4.609
Zn Hg Ag
4 1 1
direct
0.375 0.375 0.375
0.375 0.375 0.874
0.874 0.375 0.375
0.375 0.874 0.375
0.000 0.000 0.000
0.750 0.750 0.750
```

formation energy: 0.031 eV per atom
space-group type: F-43m (216)


Record 20
The following is a DFT calculation (PBEsol) of a relaxed structure of TlSbPb2.

```
TlSbPb2
1.0
-3.161 -1.513 2.567
-0.249 -4.262 -2.819
5.265 0.652 3.191
Pb Sb Tl
2 1 1
direct
0.998 0.998 0.995
0.766 0.266 0.531
0.496 0.496 0.992
0.241 0.741 0.481
```

offset from the most stable computed form: 5 meV per atom
ΔE_f (raw): 0.0184 eV per atom
space-group type: Imm2 (44)


Total magnetization readings, ordered: 0.00, 0.00, 0.00, 0.00, 0.00, 0.00, 0.00, 0.00, 0.99, 0.54, 0.00, 0.00, 0.82, 1.35, 0.00, 0.00, 0.00, 0.00, 0.00, 0.00 μB/atom